A plane-wave DFT calculation with PBE was carried out for crystalline MgTc2Bi at its relaxed geometry. Values from VASP.

Values from the calculation:
Formation energy from the elements, eV per atom: 0.51
Distance to the lowest polymorph of the same formula, meV per atom: 0
M_tot, Bohr magnetons per cell: 0.00
SG: Fm-3m

```
&SYSTEM
  ibrav = 0, nat = 4, ntyp = 3
/
ATOMIC_SPECIES
Mg 24.30 Mg.upf
Bi 208.98 Bi.upf
Tc 98.00 Tc.upf
CELL_PARAMETERS angstrom
0.000 3.263 3.263
3.263 0.000 3.263
3.263 3.263 0.000
ATOMIC_POSITIONS angstrom
Mg 0.000 0.000 0.000
Bi 3.263 3.263 3.263
Tc 1.631 1.631 1.631
Tc 4.894 4.894 4.894
```


A plane-wave DFT calculation with PBE was carried out for crystalline MgTc2Bi at its relaxed geometry. Values from VASP.

Values from the calculation:
Formation energy from the elements, eV per atom: 1.01
Distance to the lowest polymorph of the same formula, meV per atom: 506
M_tot, Bohr magnetons per cell: 3.10
SG: I-42d

```
&SYSTEM
  ibrav = 0, nat = 8, ntyp = 3
/
ATOMIC_SPECIES
Mg 24.30 Mg.upf
Bi 208.98 Bi.upf
Tc 98.00 Tc.upf
CELL_PARAMETERS angstrom
-5.554 1.762 -4.846
4.546 -1.689 -5.824
-1.389 -2.573 -5.269
ATOMIC_POSITIONS angstrom
Mg -0.504 0.036 -5.335
Mg 1.326 -2.113 -8.214
Bi 0.000 0.000 0.000
Bi -3.724 -0.388 -7.725
Tc -3.269 0.253 -5.091
Tc 1.818 -1.485 -5.547
Tc -1.435 -1.897 -7.934
Tc -1.909 -1.872 -13.308
```


Number 1: total DFT energy (no corrections) -6.044 eV per atom. Number 2: total DFT energy (no corrections) -5.539 eV per atom.